Computed, not measured: a relaxed structure of CeTiBeN3 at the GGA-PBE level of DFT.

## Properties
- Spin magnetization: 0.438 μB per formula unit
- DOS(E_F): 0.636 states/eV per atom
- SG: P2_1/m (11)
- Calculated total energy: -50.7 eV/f.u.

Lattice parameters (Å, degrees): 6.6152 3.1247 6.7881 90.00 105.60 90.00
Fractional coordinates of all 12 atoms:
Ce 0.1962 0.2500 0.2253
Ce 0.8038 0.7500 0.7747
Ti 0.3365 0.7500 0.8438
Ti 0.6635 0.2500 0.1562
Be 0.0882 0.2500 0.6011
Be 0.9118 0.7500 0.3989
N 0.1185 0.2500 0.8602
N 0.1783 0.7500 0.5295
N 0.4458 0.7500 0.1591
N 0.5542 0.2500 0.8409
N 0.8217 0.2500 0.4705
N 0.8815 0.7500 0.1398